VOsNO2: relaxed, GGA+U.

The uncorrected energy comes out at -36.06 eV/cell. For the total magnetization, the calculation gives 0.92 μB per formula unit. The calculation puts the volume at 59 Å³/cell.

It has space group P4/mmm (No. 123), with a = 3.949 Å, b = 3.949 Å, c = 3.788 Å, α = 90.00°, β = 90.00° and γ = 90.00°. The distinct sites, in fractional coordinates, are V at (0.000, 0.000, 0.000), Os at (0.500, 0.500, 0.500), N at (0.500, 0.500, 0.000) and O at (0.000, 0.500, 0.500).



VOsNO2: relaxed, GGA+U.

The uncorrected energy comes out at -34.94 eV/cell. For the total magnetization, the calculation gives 2.96 μB per formula unit. The calculation puts the volume at 56 Å³/cell.

It has space group P4/mmm (No. 123), with a = 3.645 Å, b = 3.645 Å, c = 4.249 Å, α = 90.00°, β = 90.00° and γ = 90.00°. The distinct sites, in fractional coordinates, are V at (0.000, 0.000, 0.000), Os at (0.500, 0.500, 0.500), N at (0.000, 0.000, 0.500) and O at (0.000, 0.500, 0.000).



OsWN2O: relaxed, GGA+U.

The uncorrected energy comes out at -35.21 eV/cell. For the total magnetization, the calculation gives 3.26 μB per formula unit. The calculation puts the volume at 62 Å³/cell.

It has space group P4/mmm (No. 123), with a = 4.028 Å, b = 4.028 Å, c = 3.835 Å, α = 90.00°, β = 90.00° and γ = 90.00°. The distinct sites, in fractional coordinates, are Os at (0.000, 0.000, 0.000), W at (0.500, 0.500, 0.500), N at (0.000, 0.500, 0.500) and O at (0.500, 0.500, 0.000).



OsWN2O: relaxed, GGA+U.

The uncorrected energy comes out at -35.94 eV/cell. For the total magnetization, the calculation gives 3.28 μB per formula unit. The calculation puts the volume at 60 Å³/cell.

It has space group P4/mmm (No. 123), with a = 3.943 Å, b = 3.943 Å, c = 3.835 Å, α = 90.00°, β = 90.00° and γ = 90.00°. The distinct sites, in fractional coordinates, are Os at (0.000, 0.000, 0.000), W at (0.500, 0.500, 0.500), N at (0.000, 0.500, 0.000) and O at (0.000, 0.000, 0.500).



> The highest uncorrected energy belongs to which entry?

number 2



> Which formula does entry 1 have?

VOsNO2



> Look up the uncorrected energy of the third one.

-35.21 eV/cell